No. 1
{"formula": "Mg2TaW", "functional": "GGA-PBE", "state": "optimized geometry", "cell": [[-2.1881, 1.3542, -4.1831], [-1.7911, -2.1118, 0.2532], [-4.0071, 2.2643, 2.8290]], "species": ["Mg", "Mg", "Ta", "W"], "fractional_positions": [[0.0000, 0.9788, 0.9937], [0.0000, 0.5212, 0.5063], [0.5000, 0.2500, 0.2500], [0.5000, 0.7500, 0.7500]], "e_tot_ev_per_fu": -26.5, "e_above_lowest_polymorph_ev_per_atom": 0.165, "total_magnetization_mub_per_cell": 0.00, "formation_enthalpy_0k_ev_per_atom": 0.365}

=====

No. 2
{"formula": "Pm3ErAl8", "functional": "GGA-PBE", "state": "optimized geometry", "cell": [[-2.5681, 3.4684, 3.5946], [-2.4315, -1.2680, -4.9017], [-4.2110, -7.2178, 3.9560]], "species": ["Pm", "Pm", "Pm", "Er", "Al", "Al", "Al", "Al", "Al", "Al", "Al", "Al"], "fractional_positions": [[0.6667, 0.3333, 0.4330], [0.6667, 0.3333, 0.0693], [0.0000, 0.0000, 0.9320], [0.0000, 0.0000, 0.5682], [0.3333, 0.6667, 0.5013], [0.3333, 0.6667, 0.9983], [0.5043, 0.0087, 0.7471], [0.5043, 0.4957, 0.7471], [0.9913, 0.4957, 0.7471], [0.1621, 0.3242, 0.2523], [0.1621, 0.8379, 0.2523], [0.6758, 0.8379, 0.2523]], "e_tot_ev_per_fu": -54.7, "e_above_lowest_polymorph_ev_per_atom": 0.009, "total_magnetization_mub_per_cell": 0.00, "formation_enthalpy_0k_ev_per_atom": -0.496}

=====

No. 3
{"formula": "Li12Ca2Mg3Hg", "functional": "GGA-PBE", "state": "optimized geometry", "cell": [[13.0521, 4.0735, 2.8893], [9.9879, 9.3377, 2.8893], [9.9879, 5.8138, 7.8575]], "species": ["Li", "Li", "Li", "Li", "Li", "Li", "Li", "Li", "Li", "Li", "Li", "Li", "Ca", "Ca", "Mg", "Mg", "Mg", "Hg"], "fractional_positions": [[0.3980, 0.3980, 0.8763], [0.8944, 0.8944, 0.3764], [0.3764, 0.8944, 0.8944], [0.8763, 0.3980, 0.3980], [0.8944, 0.3764, 0.8944], [0.3980, 0.8763, 0.3980], [0.6020, 0.6020, 0.1237], [0.1056, 0.1056, 0.6236], [0.6236, 0.1056, 0.1056], [0.1237, 0.6020, 0.6020], [0.1056, 0.6236, 0.1056], [0.6020, 0.1237, 0.6020], [0.6483, 0.6483, 0.6483], [0.3517, 0.3517, 0.3517], [0.5000, 0.0000, 0.0000], [0.0000, 0.5000, 0.0000], [0.0000, 0.0000, 0.5000], [0.0000, 0.0000, 0.0000]], "e_tot_ev_per_fu": -31.3, "total_magnetization_mub_per_cell": 0.00, "formation_enthalpy_0k_ev_per_atom": 0.043}

=====

No. 4
{"formula": "SrAlSb2", "functional": "GGA-PBE", "state": "optimized geometry", "cell": [[6.3163, 0.0045, 0.0000], [3.1027, 5.5017, 0.0000], [-4.7095, -2.7531, 3.1838]], "species": ["Sb", "Sb", "Al", "Sr"], "fractional_positions": [[0.0000, 0.0000, 0.0000], [0.2500, 0.7500, 0.5000], [0.7500, 0.2500, 0.5000], [0.5000, 0.5000, 0.0000]], "raw_formation_energy_ev_per_atom": -0.235, "e_tot_ev_per_fu": -14.6, "total_magnetization_mub_per_cell": 0.00}